1.
A plane-wave DFT calculation with GGA-PBE was carried out for an optimized crystal structure of PmHfThSc.

Cell and atoms, written as POSCAR:
```
PmHfThSc
1.0
0.0000 3.8102 3.8102
3.8102 0.0000 3.8102
3.8102 3.8102 0.0000
Pm Hf Th Sc
1 1 1 1
direct
0.0000 0.0000 0.0000
0.7500 0.7500 0.7500
0.5000 0.5000 0.5000
0.2500 0.2500 0.2500
```

Output
Its formation enthalpy at 0 K is 0.1556 eV per atom.



2.
A plane-wave DFT calculation with GGA-PBE was carried out for an optimized crystal structure of Pm3HfSe6.

Cell and atoms, written as POSCAR:
```
Pm3HfSe6
1.0
5.7363 -7.0974 0.0000
5.7363 7.0974 0.0000
0.0000 0.0000 7.0242
Pm Hf Se
6 2 12
direct
0.0927 0.9073 0.5000
0.2283 0.4168 0.4078
0.4168 0.2283 0.9078
0.5832 0.7717 0.4078
0.7717 0.5832 0.9078
0.9073 0.0927 0.0000
0.3025 0.6975 0.8686
0.6975 0.3025 0.3686
0.0634 0.6008 0.6894
0.1312 0.1961 0.7050
0.1961 0.1312 0.2050
0.2751 0.7249 0.2272
0.3992 0.9366 0.6894
0.4688 0.5312 0.7205
0.5312 0.4688 0.2205
0.6008 0.0634 0.1894
0.7249 0.2751 0.7272
0.8039 0.8688 0.7050
0.8688 0.8039 0.2050
0.9366 0.3992 0.1894
```

Output
The uncorrected formation energy comes out at -1.627 eV/atom.



3.
A plane-wave DFT calculation with GGA-PBE was carried out for an optimized crystal structure of PmHf2Se.

Cell and atoms, written as POSCAR:
```
PmHf2Se
1.0
1.6603 0.9586 10.2030
-1.6603 0.9586 10.2030
0.0000 -1.9172 10.2030
Pm Hf Se
1 2 1
direct
0.0000 0.0000 0.0000
0.1028 0.1028 0.1028
0.8972 0.8972 0.8972
0.5000 0.5000 0.5000
```

Output
The uncorrected formation energy comes out at -0.067 eV/atom.



4.
A plane-wave DFT calculation with GGA-PBE was carried out for an optimized crystal structure of Pm2Hf3Si4.

Cell and atoms, written as POSCAR:
```
Pm2Hf3Si4
1.0
7.3485 0.0000 0.0000
0.0000 7.3534 0.0000
-2.2739 0.0000 6.7823
Pm Hf Si
4 6 8
direct
0.1890 0.1693 0.0704
0.1890 0.3307 0.5704
0.8110 0.6693 0.4296
0.8110 0.8307 0.9296
0.2542 0.6771 0.2502
0.2542 0.8229 0.7502
0.5000 0.0000 0.5000
0.5000 0.5000 0.0000
0.7458 0.1771 0.2498
0.7458 0.3229 0.7498
0.0840 0.5360 0.8723
0.0840 0.9640 0.3723
0.4938 0.1245 0.8693
0.4938 0.3755 0.3693
0.5062 0.6245 0.6307
0.5062 0.8755 0.1307
0.9160 0.0360 0.6277
0.9160 0.4640 0.1277
```

Output
The uncorrected formation energy comes out at -0.800 eV/atom.



Looking at magnetization for the records above, in order, we have 0.0; 0.0; 0.0; 0.0 μB per formula unit.